DyPuTl2O6: optimized geometry, PBE.

Cell lengths 6.121, 6.121, 6.121 Å; angles 60.00, 60.00, 60.00 degrees
Site moments in Bohr magnetons follow the coordinates.
Fractional positions:
Dy 0.816 0.816 0.552  -0.03
Pu 0.316 0.316 0.052  1.43
Tl 0.566 0.566 0.301  0.00
Tl 0.066 0.066 0.801  0.00
O 0.551 0.083 0.287  -0.07
O 0.083 0.080 0.286  -0.07
O 0.080 0.551 0.286  -0.07
O 0.550 0.552 0.817  -0.07
O 0.553 0.081 0.817  -0.07
O 0.081 0.550 0.817  -0.07

## Properties
ΔE_f (raw)	-2.160	eV per atom
space group	R-3

LaTcB2: optimized geometry, PBE.

Cell lengths 4.552, 4.552, 7.558 Å; angles 72.47, 72.47, 90.00 degrees
Fractional positions:
B 0.375 0.125 0.250
B 0.375 0.625 0.250
B 0.375 0.625 0.750
B 0.875 0.625 0.750
Tc 0.500 0.500 0.000
Tc 0.250 0.750 0.500
La 0.000 0.000 0.000
La 0.750 0.250 0.500

## Properties
D(E_F)	0.421	states/eV/atom
space group	I4_1/amd
energy above the most stable polymorph in this dataset	385	meV per atom
formation energy from the elements	0.0	eV/f.u.

Dy4NiAu: optimized geometry, PBE.

Cell lengths 6.866, 6.983, 6.873 Å; angles 90.00, 94.50, 90.00 degrees
Fractional positions:
Dy 0.870 0.655 0.176
Dy 0.630 0.155 0.824
Dy 0.314 0.335 0.344
Dy 0.186 0.835 0.656
Dy 0.130 0.345 0.824
Dy 0.370 0.845 0.176
Dy 0.686 0.665 0.656
Dy 0.814 0.165 0.344
Ni 0.500 0.000 0.500
Ni 0.000 0.500 0.500
Au 0.000 0.000 0.000
Au 0.500 0.500 0.000

## Properties
D(E_F)	1.128	states/eV/atom
space group	P2_1/c
formation energy from the elements	-2.0	eV/f.u.

CdBiN2O: optimized geometry, PBE.

Cell lengths 4.222, 4.222, 4.179 Å; angles 90.00, 90.00, 90.00 degrees
Site moments in Bohr magnetons follow the coordinates.
Fractional positions:
N 0.000 0.500 0.000  0.51
N 0.500 0.000 0.000  0.51
Bi 0.500 0.500 0.500  -0.13
O 0.000 0.000 0.500  0.14
Cd 0.000 0.000 0.000  0.03

## Properties
D(E_F)	0.834	states/eV/atom
ΔE_f (raw)	1.259	eV per atom
space group	P4/mmm

NaCr2Re: optimized geometry, PBE.

Cell lengths 4.368, 4.368, 4.368 Å; angles 60.00, 60.00, 60.00 degrees
Site moments in Bohr magnetons follow the coordinates.
Fractional positions:
Re 0.500 0.500 0.500  -0.96
Na 0.000 0.000 0.000  0.01
Cr 0.250 0.250 0.250  2.25
Cr 0.750 0.750 0.750  2.25

## Properties
D(E_F)	0.849	states/eV/atom
space group	Fm-3m
energy above the most stable polymorph in this dataset	0	meV per atom
formation energy from the elements	3.3	eV/f.u.

KLiSe2: optimized geometry, PBE.

Cell lengths 4.044, 4.070, 6.809 Å; angles 66.17, 90.00, 90.00 degrees
Fractional positions:
K 0.500 0.250 0.250
Li 0.500 0.750 0.750
Se 0.000 0.000 0.926
Se 0.000 0.500 0.574

## Properties
D(E_F)	0.113	states/eV/atom
ΔE_f (raw)	-0.797	eV per atom
space group	P2/m

MgBeGe: optimized geometry, PBE.

Cell lengths 4.864, 4.828, 6.462 Å; angles 90.00, 112.11, 90.00 degrees
Fractional positions:
Mg 0.247 0.750 0.493
Mg 0.753 0.250 0.507
Ge 0.150 0.250 0.299
Ge 0.850 0.750 0.701
Be 0.000 0.000 0.000
Be 0.000 0.500 0.000

## Properties
D(E_F)	0.197	states/eV/atom
space group	Cmcm
formation energy from the elements	0.7	eV/f.u.

SmLuAg2: optimized geometry, PBE.

Cell lengths 3.583, 3.583, 7.473 Å; angles 90.00, 90.00, 90.00 degrees
Fractional positions:
Lu 0.500 0.500 0.000
Ag 0.000 0.000 0.772
Ag 0.000 0.000 0.228
Sm 0.500 0.500 0.500

## Properties
D(E_F)	0.523	states/eV/atom
space group	P4/mmm
formation energy from the elements	-1.3	eV/f.u.

Across the entries above, volume takes the values 162.1, 141.7, 328.5, 74.5, 58.9, 102.5, 140.6, 95.9 Å³/cell, respectively.
Across the entries above, theoretical density takes the values 9.3, 6.1, 9.2, 8.1, 8.8, 3.3, 2.5, 9.4 g cm⁻³, respectively.